Below is an optimized crystal structure of SrNiO2, with properties calculated at the GGA+U level.

CIF file:
```
data_SrNiO2
_symmetry_space_group_name_H-M 'P 1'
_symmetry_Int_Tables_number 1
_symmetry_space_group_name_Hall 'P 1'
_cell_length_a 6.816
_cell_length_b 3.786
_cell_length_c 5.572
_cell_angle_alpha 89.95
_cell_angle_beta 92.67
_cell_angle_gamma 106.14
loop_
_atom_site_label
_atom_site_type_symbol
_atom_site_fract_x
_atom_site_fract_y
_atom_site_fract_z
Ni1 Ni 0.566 0.626 0.232
Ni2 Ni 0.315 0.500 0.753
Sr1 Sr 0.759 0.222 0.775
Sr2 Sr 0.121 0.903 0.289
O1 O 0.799 0.741 0.060
O2 O 0.300 0.493 0.079
O3 O 0.068 0.376 0.568
O4 O 0.538 0.613 0.565
```

Below is an optimized crystal structure of SrNiO3, with properties calculated at the GGA+U level.

CIF file:
```
data_SrNiO3
_symmetry_space_group_name_H-M 'P 1'
_symmetry_Int_Tables_number 1
_symmetry_space_group_name_Hall 'P 1'
_cell_length_a 5.545
_cell_length_b 6.069
_cell_length_c 4.314
_cell_angle_alpha 95.09
_cell_angle_beta 89.82
_cell_angle_gamma 97.12
loop_
_atom_site_label
_atom_site_type_symbol
_atom_site_fract_x
_atom_site_fract_y
_atom_site_fract_z
Ni1 Ni 0.097 0.512 0.236
Ni2 Ni 0.724 0.334 0.600
Sr1 Sr 0.165 0.995 0.683
Sr2 Sr 0.657 0.852 0.153
O1 O 0.501 0.483 0.825
O2 O 0.949 0.231 0.335
O3 O 0.321 0.363 0.011
O4 O 0.205 0.799 0.155
O5 O 0.616 0.047 0.681
O6 O 0.873 0.616 0.501
```

Below is an optimized crystal structure of SrTa2NiO, with properties calculated at the GGA+U level.

CIF file:
```
data_SrTa2NiO
_symmetry_space_group_name_H-M 'P 1'
_symmetry_Int_Tables_number 1
_symmetry_space_group_name_Hall 'P 1'
_cell_length_a 4.468
_cell_length_b 6.046
_cell_length_c 4.468
_cell_angle_alpha 90.00
_cell_angle_beta 90.00
_cell_angle_gamma 90.00
loop_
_atom_site_label
_atom_site_type_symbol
_atom_site_fract_x
_atom_site_fract_y
_atom_site_fract_z
O1 O 0.500 0.500 0.500
Ni1 Ni 0.000 0.000 0.000
Ta1 Ta 0.000 0.000 0.500
Ta2 Ta 0.500 0.000 0.000
Sr1 Sr 0.000 0.500 0.000
```

Below is an optimized crystal structure of SrTbNiO4, with properties calculated at the GGA+U level.

CIF file:
```
data_SrTbNiO4
_symmetry_space_group_name_H-M 'P 1'
_symmetry_Int_Tables_number 1
_symmetry_space_group_name_Hall 'P 1'
_cell_length_a 3.795
_cell_length_b 3.795
_cell_length_c 6.657
_cell_angle_alpha 106.56
_cell_angle_beta 106.56
_cell_angle_gamma 90.00
loop_
_atom_site_label
_atom_site_type_symbol
_atom_site_fract_x
_atom_site_fract_y
_atom_site_fract_z
Sr1 Sr 0.643 0.643 0.286
O1 O 0.838 0.838 0.675
O2 O 0.178 0.178 0.355
O3 O 0.488 0.988 0.976
O4 O 0.988 0.488 0.976
Tb1 Tb 0.363 0.363 0.727
Ni1 Ni 0.002 0.002 0.005
```

What are the raw total energy values for these records? In order: -41.05 -52.62 -26.85 -44.98 eV/cell.